{"formula": "YCd4Ni", "functional": "PBE", "state": "optimized geometry", "cell": [[0.000, 4.023, 4.023], [4.023, 0.000, 4.023], [4.023, 4.023, 0.000]], "species": ["Y", "Cd", "Cd", "Cd", "Cd", "Ni"], "frac_coords": [[0.000, 0.000, 0.000], [0.376, 0.376, 0.376], [0.376, 0.376, 0.873], [0.376, 0.873, 0.376], [0.873, 0.376, 0.376], [0.750, 0.750, 0.750]], "crystal_system": "cubic", "space_group": "F-43m, No. 216", "polymorph_energy_ev_per_atom": 0.155, "dos_ef_per_ev_atom": 0.81, "formation_energy_ev_per_atom": 0.062}